# 1
VASP calculation (PBE-GGA) on a geometry-optimized HgB2Pb2O6 structure.

Output
* E: -131.7 eV per cell
* total moment: 0.00 Bohr magnetons per cell

Cell: 10.2673 6.0531 6.3890 Å, 90.00 114.24 90.00°
With the nearest neighbours (Å) after each atom.
Space group C2/m (No. 12)
Symmetry-distinct sites (fractional):
Hg  0.0000  0.0000  0.0000 (multiplicity 2)  8 O 3.33-3.47, 2 B 3.33, 4 Pb 3.63
B  0.1456  0.5000  0.7199 (multiplicity 4)  3 O 1.39
Pb  0.1785  0.5000  0.2888 (multiplicity 4)  6 O 2.35-2.46
O  0.0839  0.5000  0.8775 (multiplicity 4)  1 B 1.39
O  0.1684  0.3072  0.6207 (multiplicity 8)  1 B 1.39

---

# 2
VASP calculation (PBE-GGA) on a geometry-optimized PuHgBO6 structure.

Output
* E: -66.8 eV per cell
* total moment: 1.00 Bohr magnetons per cell

Cell: 4.9347 5.2256 6.0275 Å, 82.37 68.41 77.51°
With the nearest neighbours (Å) after each atom.
Space group P1 (No. 1)
Symmetry-distinct sites (fractional):
Pu  0.0000  0.0000  0.0000 (multiplicity 1)  3 O 1.79-1.93
Hg  0.6158  0.4428  0.5419 (multiplicity 1)  3 O 2.10-2.30
B  0.1244  0.9213  0.5060 (multiplicity 1)  3 O 1.34-1.41
O  0.1089  0.8221  0.3173 (multiplicity 1)  1 B 1.34
O  0.2518  0.2250  0.9431 (multiplicity 1)  1 Pu 1.80
O  0.3104  0.7946  0.6338 (multiplicity 1)  1 B 1.41
O  0.6763  0.2309  0.2120 (multiplicity 1)  1 Pu 1.93
O  0.7746  0.7603  0.0345 (multiplicity 1)  1 Pu 1.79
O  0.9492  0.1466  0.6223 (multiplicity 1)  1 B 1.40

---

# 3
VASP calculation (PBE-GGA) on a geometry-optimized PuHgBO5 structure.

Output
* E: -246.2 eV per cell
* total moment: 12.00 Bohr magnetons per cell

Cell: 7.2989 8.4539 8.0056 Å, 90.00 116.73 90.00°
With the nearest neighbours (Å) after each atom.
Space group C2/c (No. 15)
Symmetry-distinct sites (fractional):
Pu  0.2500  0.2500  0.0000 (multiplicity 4)  6 O 2.07-2.22
Hg  0.0000  0.0970  0.2500 (multiplicity 4)  3 O 2.09-2.25
B  0.0000  0.4321  0.2500 (multiplicity 4)  4 O 1.49-1.50
O  0.0000  0.1505  0.7500 (multiplicity 4)  1 Hg 2.09, 2 Pu 2.18
O  0.0489  0.3238  0.1276 (multiplicity 8)  1 B 1.50
O  0.1809  0.4667  0.8643 (multiplicity 8)  1 B 1.49

---

# 4
VASP calculation (PBE-GGA) on a geometry-optimized RbHg2B2O6 structure.

Output
* E: -59.9 eV per cell
* total moment: 0.00 Bohr magnetons per cell

Cell: 5.6659 6.0726 6.6996 Å, 108.22 113.20 94.66°
With the nearest neighbours (Å) after each atom.
Space group P-1 (No. 2)
Symmetry-distinct sites (fractional):
Rb  0.0000  0.0000  0.0000 (multiplicity 1)  6 O 2.84-3.08
Hg  0.2925  0.7033  0.4420 (multiplicity 2)  2 O 2.10-2.21
B  0.2844  0.2416  0.6647 (multiplicity 2)  3 O 1.37-1.41
O  0.0896  0.2564  0.7366 (multiplicity 2)  1 B 1.37
O  0.3074  0.3409  0.5071 (multiplicity 2)  1 B 1.41
O  0.4748  0.1225  0.7455 (multiplicity 2)  1 B 1.38

---

# 5
VASP calculation (PBE-GGA) on a geometry-optimized Rb2HgBO4 structure.

Output
* E: -78.2 eV per cell
* total moment: 2.09 Bohr magnetons per cell

Cell: 8.4021 7.3900 5.9475 Å, 90.00 134.89 90.00°
With the nearest neighbours (Å) after each atom.
Space group C2 (No. 5)
Symmetry-distinct sites (fractional):
Rb  0.0000  0.0000  0.0000 (multiplicity 2)  4 O 2.75
Rb  0.0000  0.2498  0.5000 (multiplicity 2)  8 O 3.09-3.17
Hg  0.0000  0.5009  0.0000 (multiplicity 2)  4 O 2.27-2.28
B  0.0000  0.7492  0.5000 (multiplicity 2)  4 O 1.49-1.50
O  0.1128  0.6408  0.4327 (multiplicity 4)  1 B 1.50
O  0.1800  0.8569  0.7924 (multiplicity 4)  1 B 1.49

---

# 6
VASP calculation (PBE-GGA) on a geometry-optimized ReHgBO6 structure.

Output
* E: -62.2 eV per cell
* total moment: 0.00 Bohr magnetons per cell

Cell: 5.5012 5.8539 6.7003 Å, 96.11 106.62 113.52°
With the nearest neighbours (Å) after each atom.
Space group P1 (No. 1)
Symmetry-distinct sites (fractional):
Re  0.0000  0.0000  0.0000 (multiplicity 1)  4 O 1.73-1.84
Hg  0.0688  0.5666  0.4354 (multiplicity 1)  2 O 2.00
B  0.5277  0.0712  0.3905 (multiplicity 1)  3 O 1.35-1.44
O  0.0402  0.8839  0.7688 (multiplicity 1)  1 Re 1.73
O  0.3366  0.1281  0.2298 (multiplicity 1)  1 B 1.44
O  0.4333  0.8752  0.4814 (multiplicity 1)  1 B 1.35
O  0.7356  0.7510  0.0468 (multiplicity 1)  1 Re 1.73
O  0.8102  0.2193  0.4533 (multiplicity 1)  1 B 1.35
O  0.9081  0.2485  0.9708 (multiplicity 1)  1 Re 1.73

---

# 7
VASP calculation (PBE-GGA) on a geometry-optimized HgBRhO2 structure.

Output
* E: -22.3 eV per cell
* total moment: 0.43 Bohr magnetons per cell

Cell: 3.7989 3.7989 4.7833 Å, 90.00 90.00 90.00°
With the nearest neighbours (Å) after each atom.
Space group P4/mmm (No. 123)
Symmetry-distinct sites (fractional):
Hg  0.0000  0.0000  0.0000 (multiplicity 1)  4 B 2.69
B  0.5000  0.5000  0.0000 (multiplicity 1)  2 Rh 2.39
Rh  0.5000  0.5000  0.5000 (multiplicity 1)  4 O 1.90
O  0.0000  0.5000  0.5000 (multiplicity 2)  2 Rh 1.90

---

# 8
VASP calculation (PBE-GGA) on a geometry-optimized Hg2BSeO structure.

Output
* E: -10.2 eV per cell
* total moment: 0.00 Bohr magnetons per cell

Cell: 4.8347 4.8347 4.3506 Å, 90.00 90.00 90.00°
With the nearest neighbours (Å) after each atom.
Space group P4/mmm (No. 123)
Symmetry-distinct sites (fractional):
Hg  0.0000  0.5000  0.0000 (multiplicity 2)  2 O 2.42
B  0.0000  0.0000  0.5000 (multiplicity 1)  8 Hg 3.25, 4 Se 3.42
Se  0.5000  0.5000  0.5000 (multiplicity 1)  2 O 2.18
O  0.5000  0.5000  0.0000 (multiplicity 1)  2 Se 2.18, 4 Hg 2.42

---

# 9
VASP calculation (PBE-GGA) on a geometry-optimized SmHgB2O6 structure.

Output
* E: -275.7 eV per cell
* total moment: 0.00 Bohr magnetons per cell

Cell: 7.7691 10.6214 6.8294 Å, 90.00 109.99 90.00°
With the nearest neighbours (Å) after each atom.
Space group C2/c (No. 15)
Symmetry-distinct sites (fractional):
Sm  0.0000  0.0751  0.2500 (multiplicity 4)  6 O 2.31-2.40
Hg  0.0000  0.3999  0.7500 (multiplicity 4)  4 O 2.20-2.43
B  0.2442  0.1580  0.7677 (multiplicity 8)  3 O 1.37-1.39
O  0.1079  0.1022  0.6068 (multiplicity 8)  1 B 1.37
O  0.1556  0.4284  0.0836 (multiplicity 8)  1 B 1.39
O  0.2229  0.2151  0.2228 (multiplicity 8)  1 B 1.37

---

# 10
VASP calculation (PBE-GGA) on a geometry-optimized Sr2HgB2O6 structure.

Output
* E: -144.1 eV per cell
* total moment: 0.00 Bohr magnetons per cell

Cell: 9.7729 5.2305 6.4372 Å, 90.00 117.09 90.00°
With the nearest neighbours (Å) after each atom.
Space group C2/m (No. 12)
Symmetry-distinct sites (fractional):
Sr  0.2020  0.0000  0.1953 (multiplicity 4)  9 O 2.60-2.90
Hg  0.0000  0.0000  0.5000 (multiplicity 2)  4 O 2.31
B  0.0295  0.5000  0.2464 (multiplicity 4)  3 O 1.36-1.41
O  0.0576  0.2726  0.8107 (multiplicity 8)  1 B 1.41
O  0.1861  0.5000  0.3527 (multiplicity 4)  1 B 1.36

---

# 11
VASP calculation (PBE-GGA) on a geometry-optimized HgB2TeO6 structure.

Output
* E: -239.5 eV per cell
* total moment: 0.00 Bohr magnetons per cell

Cell: 9.5420 9.2733 4.9712 Å, 90.00 103.32 90.00°
With the nearest neighbours (Å) after each atom.
Space group C2/c (No. 15)
Symmetry-distinct sites (fractional):
Hg  0.0000  0.0874  0.2500 (multiplicity 4)  6 O 2.27-2.47
B  0.2175  0.4143  0.2492 (multiplicity 8)  4 O 1.43-1.58
Te  0.0000  0.3172  0.7500 (multiplicity 4)  4 O 2.07-2.08
O  0.1219  0.1406  0.6861 (multiplicity 8)  1 B 1.58
O  0.1259  0.2945  0.1471 (multiplicity 8)  1 B 1.43
O  0.1951  0.4679  0.5284 (multiplicity 8)  2 B 1.53-1.54

---

# 12
VASP calculation (PBE-GGA) on a geometry-optimized TiHgB2O structure.

Output
* E: -18.6 eV per cell
* total moment: 1.62 Bohr magnetons per cell

Cell: 3.9315 3.9315 5.9298 Å, 90.00 90.00 90.00°
With the nearest neighbours (Å) after each atom.
Space group P4/mmm (No. 123)
Symmetry-distinct sites (fractional):
Ti  0.0000  0.0000  0.0000 (multiplicity 1)  4 O 2.78, 2 Hg 2.96
Hg  0.0000  0.0000  0.5000 (multiplicity 1)  4 B 1.97
B  0.0000  0.5000  0.5000 (multiplicity 2)  2 Hg 1.97
O  0.5000  0.5000  0.0000 (multiplicity 1)  4 Ti 2.78

---

# 13
VASP calculation (PBE-GGA) on a geometry-optimized ZnHg2BO4 structure.

Output
* E: -74.0 eV per cell
* total moment: 0.00 Bohr magnetons per cell

Cell: 5.0616 5.0616 7.9181 Å, 90.00 90.00 90.00°
With the nearest neighbours (Å) after each atom.
Space group I-4 (No. 82)
Symmetry-distinct sites (fractional):
Zn  0.0000  0.0000  0.0000 (multiplicity 2)  4 O 2.02
Hg  0.0000  0.0000  0.5000 (multiplicity 2)  4 O 2.35
Hg  0.0000  0.5000  0.7500 (multiplicity 2)  4 O 2.55
B  0.0000  0.5000  0.2500 (multiplicity 2)  4 O 1.50
O  0.1392  0.6960  0.1387 (multiplicity 8)  1 B 1.50

---

# 14
VASP calculation (PBE-GGA) on a geometry-optimized ZnHg2B2O6 structure.

Output
* E: -118.9 eV per cell
* total moment: 0.00 Bohr magnetons per cell

Cell: 9.1334 5.2089 6.0628 Å, 90.00 120.85 90.00°
With the nearest neighbours (Å) after each atom.
Space group C2/m (No. 12)
Symmetry-distinct sites (fractional):
Zn  0.0000  0.0000  0.0000 (multiplicity 2)  6 O 2.08-2.28
Hg  0.2008  0.0000  0.6826 (multiplicity 4)  5 O 2.41-2.53
B  0.0442  0.5000  0.7686 (multiplicity 4)  3 O 1.37-1.41
O  0.0498  0.2714  0.2807 (multiplicity 8)  1 B 1.41
O  0.2174  0.5000  0.8702 (multiplicity 4)  1 B 1.37

---

# 15
VASP calculation (PBE-GGA) on a geometry-optimized Hg3BOs structure.

Output
* energy of formation: 1.700 eV/atom
* polymorph energy (0 for the lowest one): 241 meV/atom
* E: -10.3 eV per cell
* total moment: 0.60 Bohr magnetons per cell

Cell: 5.2566 5.2566 5.2566 Å, 90.00 90.00 90.00°
With the nearest neighbours (Å) after each atom.
Space group Pm-3m (No. 221)
Symmetry-distinct sites (fractional):
Hg  0.0000  0.0000  0.5000 (multiplicity 3)  2 Os 2.63
B  0.5000  0.5000  0.5000 (multiplicity 1)  12 Hg 3.72
Os  0.0000  0.0000  0.0000 (multiplicity 1)  6 Hg 2.63

---

# 16
VASP calculation (PBE-GGA) on a geometry-optimized HgB3Os structure.

Output
* energy of formation: 0.998 eV/atom
* polymorph energy (0 for the lowest one): 0 meV/atom
* E: -26.6 eV per cell
* total moment: 0.00 Bohr magnetons per cell

Cell: 4.1885 4.1885 4.1885 Å, 90.00 90.00 90.00°
With the nearest neighbours (Å) after each atom.
Space group Pm-3m (No. 221)
Symmetry-distinct sites (fractional):
Hg  0.0000  0.0000  0.0000 (multiplicity 1)  12 B 2.96
B  0.0000  0.5000  0.5000 (multiplicity 3)  2 Os 2.09
Os  0.5000  0.5000  0.5000 (multiplicity 1)  6 B 2.09

---

# 17
VASP calculation (PBE-GGA) on a geometry-optimized HgB3Os structure.

Output
* energy of formation: 2.937 eV/atom
* polymorph energy (0 for the lowest one): 1939 meV/atom
* E: -16.9 eV per cell
* total moment: 1.03 Bohr magnetons per cell

Cell: 4.1938 4.1938 4.1938 Å, 90.00 90.00 90.00°
With the nearest neighbours (Å) after each atom.
Space group Pm-3m (No. 221)
Symmetry-distinct sites (fractional):
Hg  0.0000  0.0000  0.0000 (multiplicity 1)  6 B 2.10
B  0.0000  0.0000  0.5000 (multiplicity 3)  2 Hg 2.10
Os  0.5000  0.5000  0.5000 (multiplicity 1)  12 B 2.97

---

# 18
VASP calculation (PBE-GGA) on a geometry-optimized Hg3BOs structure.

Output
* energy of formation: 1.459 eV/atom
* polymorph energy (0 for the lowest one): 0 meV/atom
* E: -11.5 eV per cell
* total moment: 2.47 Bohr magnetons per cell

Cell: 4.5515 4.5515 4.5515 Å, 90.00 90.00 90.00°
With the nearest neighbours (Å) after each atom.
Space group Pm-3m (No. 221)
Symmetry-distinct sites (fractional):
Hg  0.0000  0.0000  0.5000 (multiplicity 3)  2 B 2.28
B  0.0000  0.0000  0.0000 (multiplicity 1)  6 Hg 2.28
Os  0.5000  0.5000  0.5000 (multiplicity 1)  12 Hg 3.22

---

# 19
VASP calculation (PBE-GGA) on a geometry-optimized RbHg2BOs structure.

Output
* energy of formation: 1.674 eV/atom
* E: -11.1 eV per cell
* total moment: 3.15 Bohr magnetons per cell

Cell: 4.5673 4.5673 5.9676 Å, 90.00 90.00 90.00°
With the nearest neighbours (Å) after each atom.
Space group P4/mmm (No. 123)
Symmetry-distinct sites (fractional):
Rb  0.0000  0.0000  0.0000 (multiplicity 1)  2 B 2.98, 4 Os 3.23
Hg  0.0000  0.5000  0.5000 (multiplicity 2)  2 B 2.28
B  0.0000  0.0000  0.5000 (multiplicity 1)  4 Hg 2.28
Os  0.5000  0.5000  0.0000 (multiplicity 1)  4 Rb 3.23

---

# 20
VASP calculation (PBE-GGA) on a geometry-optimized HgBOsRu2 structure.

Output
* energy of formation: 3.493 eV/atom
* E: -19.3 eV per cell
* total moment: 6.68 Bohr magnetons per cell

Cell: 4.9967 4.9967 5.0038 Å, 90.00 90.00 90.00°
With the nearest neighbours (Å) after each atom.
Space group P4/mmm (No. 123)
Symmetry-distinct sites (fractional):
Hg  0.0000  0.0000  0.0000 (multiplicity 1)  4 Ru 2.50, 2 Os 2.50
B  0.5000  0.5000  0.5000 (multiplicity 1)  4 Os 3.53, 8 Ru 3.54
Os  0.0000  0.0000  0.5000 (multiplicity 1)  2 Hg 2.50
Ru  0.0000  0.5000  0.0000 (multiplicity 2)  2 Hg 2.50